Below is a relaxed structure of BeAgAs, with properties calculated at the PBE level.

a b c (Å): 3.894 4.861 6.830
angles (deg): 70.43 89.98 66.50
Space group P-1 (No. 2)
One atom of each set of equivalent atoms:
Be: 0.204 0.093 0.054 (multiplicity 2)
Ag: 0.055 0.390 0.321 (multiplicity 2)
As: 0.256 0.988 0.757 (multiplicity 2)

Summary:
DOS(E_F) ... 0.5 states/eV per cell
Total magnetization ... 0.00 μB per formula unit

Below is a relaxed structure of BeAgAs, with properties calculated at the PBE level.

a b c (Å): 3.477 4.541 12.220
angles (deg): 90.00 90.00 90.00
Space group Fmm2 (No. 42)
One atom of each set of equivalent atoms:
Be: 0.000 0.000 0.000 (multiplicity 4)
Ag: 0.000 0.000 0.361 (multiplicity 4)
As: 0.000 0.000 0.634 (multiplicity 4)

Summary:
DOS(E_F) ... 3.0 states/eV per cell
Total magnetization ... 0.00 μB per formula unit

Below is a relaxed structure of BeAgAs2, with properties calculated at the PBE level.

a b c (Å): 2.911 3.839 12.307
angles (deg): 90.00 90.00 90.00
Space group Imm2 (No. 44)
One atom of each set of equivalent atoms:
Be: 0.000 0.000 0.000 (multiplicity 2)
Ag: 0.000 0.500 0.714 (multiplicity 2)
As: 0.000 0.000 0.547 (multiplicity 2)
As: 0.000 0.500 0.341 (multiplicity 2)

Summary:
DOS(E_F) ... 2.5 states/eV per cell
Total magnetization ... 0.00 μB per formula unit

Below is a relaxed structure of BeAgAs2, with properties calculated at the PBE level.

a b c (Å): 2.889 3.860 6.456
angles (deg): 90.00 90.27 90.00
Space group Pm (No. 6)
One atom of each set of equivalent atoms:
Be: 0.000 0.000 0.000 (multiplicity 1)
Ag: 0.502 0.500 0.179 (multiplicity 1)
As: 0.000 0.500 0.799 (multiplicity 1)
As: 0.001 0.000 0.405 (multiplicity 1)

Summary:
DOS(E_F) ... 1.2 states/eV per cell
Total magnetization ... 0.00 μB per formula unit

Below is a relaxed structure of Be3AgAs, with properties calculated at the PBE level.

a b c (Å): 4.331 4.331 4.331
angles (deg): 90.00 90.00 90.00
Space group Pm-3m (No. 221)
One atom of each set of equivalent atoms:
Be: 0.000 0.000 0.500 (multiplicity 3)
Ag: 0.000 0.000 0.000 (multiplicity 1)
As: 0.500 0.500 0.500 (multiplicity 1)

Summary:
DOS(E_F) ... 2.2 states/eV per cell
Total magnetization ... 0.00 μB per formula unit
ΔE to the lowest computed polymorph ... 0.089 eV/atom

Below is a relaxed structure of BeAgAs2, with properties calculated at the PBE level.

a b c (Å): 2.787 3.309 7.309
angles (deg): 90.00 90.00 90.00
Space group Pmmm (No. 47)
One atom of each set of equivalent atoms:
Be: 0.000 0.000 0.000 (multiplicity 1)
Ag: 0.000 0.000 0.500 (multiplicity 1)
As: 0.500 0.500 0.199 (multiplicity 2)

Summary:
DOS(E_F) ... 1.1 states/eV per cell
Total magnetization ... 0.00 μB per formula unit

Below is a relaxed structure of BeAgAs, with properties calculated at the PBE level.

a b c (Å): 3.884 6.535 4.633
angles (deg): 90.00 110.80 90.00
Space group P2_1 (No. 4)
One atom of each set of equivalent atoms:
Be: 0.213 0.000 0.459 (multiplicity 2)
Ag: 0.045 0.834 0.915 (multiplicity 2)
As: 0.253 0.657 0.454 (multiplicity 2)

Summary:
DOS(E_F) ... 0.0 states/eV per cell
Total magnetization ... 0.00 μB per formula unit

Below is a relaxed structure of BeAgAs, with properties calculated at the PBE level.

a b c (Å): 3.812 3.812 6.710
angles (deg): 90.00 90.00 90.00
Space group P4/nmm (No. 129, origin choice 2)
One atom of each set of equivalent atoms:
Be: 0.250 0.750 0.000 (multiplicity 2)
Ag: 0.250 0.250 0.406 (multiplicity 2)
As: 0.250 0.250 0.802 (multiplicity 2)

Summary:
DOS(E_F) ... 0.4 states/eV per cell
Total magnetization ... 0.00 μB per formula unit

Computed values of ΔE_f (unit: kJ/mol of formula units) for the preceding records, in sequence: 19; 85; 104; 103; 460; 130; 3; 19.